AcPrPuAl | PBE | relaxed

Values from the calculation:
crystal system: cubic
energy of formation from the pure elements: 0.18 eV per atom
total magnetization: 6.73 μB/cell
space-group type: F-43m
Fermi-level density of states: 13.94 states/eV/cell
raw total energy: -6.56 eV per atom

a b c (Å): 5.5634 5.5634 5.5634
angles (deg): 60.00 60.00 60.00
With the nearest neighbours (Å) after each atom.
Fractional coordinates of all 4 atoms:
Ac 0.0000 0.0000 0.0000  4 Pr 3.41, 4 Pu 3.41
Pr 0.7500 0.7500 0.7500  4 Ac 3.41, 4 Al 3.41
Pu 0.2500 0.2500 0.2500  4 Ac 3.41, 4 Al 3.41
Al 0.5000 0.5000 0.5000  4 Pr 3.41, 4 Pu 3.41